RbAgRu3 SCAN single point on PBEsol structure; raw total energy = -28.20 eV per atom; calculated volume = 19.89 A^3/atom; symmetry = Pm-3m, No. 221; DFT formation energy = 3113.7 meV per atom; DOS(E_F) = 0.801 states/eV/atom
1.0
-1.2173 0.3400 -4.4570
-0.1082 -4.6202 -0.3229
-4.4687 0.0193 1.2220
Ag Ru Rb
1 3 1
Cartesian
-2.8971 -2.1305 -1.7790
-2.2343 0.0096 0.6110
-0.6087 0.1700 -2.2285
-0.0541 -2.3101 -0.1614
0.0000 0.0000 0.0000